# 1
Density functional theory data (PBE) for a geometry-optimized Ni2Ag2Pt structure.

Computed properties:
relative energy among the computed polymorphs = 162 meV per atom
energy of formation = 443 meV per atom
Fermi-level density of states = 14.41 states/eV per cell
crystal system = tetragonal
E = -4.218 eV per atom

Cell: 3.195 3.195 15.661 Å, 90.00 90.00 90.00°
Space group I4/mmm (No. 139)
Inequivalent atoms, fractional coordinates:
Ni: 0.000 0.500 0.250 (multiplicity 4)
Ag: 0.000 0.000 0.109 (multiplicity 4)
Pt: 0.000 0.000 0.500 (multiplicity 2)

---

# 2
Density functional theory data (PBE) for a geometry-optimized PmHo8Sc2 structure.

Computed properties:
relative energy among the computed polymorphs = 18 meV per atom
energy of formation = 143 meV per atom
Fermi-level density of states = 35.80 states/eV per cell
crystal system = monoclinic
E = -4.770 eV per atom

Cell: 18.894 6.794 5.410 Å, 90.00 92.78 90.00°
Space group C2/m (No. 12)
Inequivalent atoms, fractional coordinates:
Pm: 0.000 0.000 0.000 (multiplicity 2)
Ho: 0.049 0.500 0.237 (multiplicity 4)
Ho: 0.137 0.266 0.732 (multiplicity 8)
Ho: 0.192 0.000 0.234 (multiplicity 4)
Sc: 0.215 0.500 0.249 (multiplicity 4)

---

# 3
Density functional theory data (PBE) for a geometry-optimized Np2MnCo3As4 structure.

Computed properties:
energy of formation = -427 meV per atom
Fermi-level density of states = 19.62 states/eV per cell
crystal system = tetragonal
E = -7.924 eV per atom

Cell: 4.157 4.157 9.299 Å, 90.00 90.00 90.00°
Space group P-4m2 (No. 115)
Inequivalent atoms, fractional coordinates:
Np: 0.000 0.500 0.247 (multiplicity 2)
Mn: 0.500 0.500 0.000 (multiplicity 1)
Co: 0.000 0.000 0.000 (multiplicity 1)
Co: 0.000 0.500 0.612 (multiplicity 2)
As: 0.000 0.000 0.500 (multiplicity 1)
As: 0.000 0.500 0.858 (multiplicity 2)
As: 0.500 0.500 0.500 (multiplicity 1)

---

# 4
Density functional theory data (PBE) for a geometry-optimized Dy2Y3Er6Pb structure.

Computed properties:
energy of formation = -46 meV per atom
Fermi-level density of states = 33.19 states/eV per cell
crystal system = monoclinic
E = -5.020 eV per atom

Cell: 6.073 10.527 11.627 Å, 90.00 100.09 90.00°
Space group C2/m (No. 12)
Inequivalent atoms, fractional coordinates:
Dy: 0.000 0.166 0.000 (multiplicity 4)
Y: 0.000 0.000 0.500 (multiplicity 2)
Y: 0.000 0.333 0.500 (multiplicity 4)
Er: 0.246 0.335 0.247 (multiplicity 8)
Er: 0.248 0.500 0.751 (multiplicity 4)
Pb: 0.000 0.500 0.000 (multiplicity 2)

---

# 5
Density functional theory data (PBE) for a geometry-optimized Rb2NaTl2S4 structure.

Computed properties:
formation energy from raw total energies = -0.661 eV per atom
Fermi-level density of states = 5.77 states/eV per cell
crystal system = monoclinic
E = -3.382 eV per atom

Cell: 16.140 4.588 7.690 Å, 90.00 106.78 90.00°
Space group C2/m (No. 12)
Inequivalent atoms, fractional coordinates:
Rb: 0.120 0.000 0.040 (multiplicity 4)
Na: 0.000 0.000 0.500 (multiplicity 2)
Tl: 0.159 0.500 0.513 (multiplicity 4)
S: 0.019 0.500 0.260 (multiplicity 4)
S: 0.213 0.000 0.687 (multiplicity 4)

---

# 6
Density functional theory data (PBE) for a geometry-optimized AuS3F structure.

Computed properties:
relative energy among the computed polymorphs = 0 meV per atom
formation energy from raw total energies = 0.877 eV per atom
Fermi-level density of states = 7.73 states/eV per cell
crystal system = cubic
E = -2.629 eV per atom

Cell: 4.854 4.854 4.854 Å, 90.00 90.00 90.00°
Space group Pm-3m (No. 221)
Inequivalent atoms, fractional coordinates:
Au: 0.000 0.000 0.000 (multiplicity 1)
S: 0.000 0.000 0.500 (multiplicity 3)
F: 0.500 0.500 0.500 (multiplicity 1)